Crystalline TaHgSb2 at its relaxed geometry. Source: Alexandria via LeMat-Bulk, functional PBE.

extended XYZ file:
```
4
Lattice="4.238 -3.775 0.000 4.238 3.775 0.000 -0.911 0.000 2.987" Properties=species:S:1:pos:R:3 pbc="T T T"
Ta 0.000 0.000 0.000
Hg 4.238 0.000 0.000
Sb 1.663 1.887 1.493
Sb 1.663 -1.887 1.493
```

Total DFT energy (no corrections): -18.65 eV/cell
SG: C2/m (12)
Raw formation energy: 436.8 meV/atom



Crystalline TaHgSb2 at its relaxed geometry. Source: Alexandria via LeMat-Bulk, functional PBE.

extended XYZ file:
```
4
Lattice="5.106 -1.608 0.000 5.106 1.608 0.000 -0.847 0.000 5.649" Properties=species:S:1:pos:R:3 pbc="T T T"
Ta 0.000 0.000 0.000
Hg 4.683 0.000 2.825
Sb 2.149 0.000 4.408
Sb 7.217 0.000 1.242
```

Total DFT energy (no corrections): -19.06 eV/cell
SG: C2/m (12)
Raw formation energy: 334.9 meV/atom



Crystalline TaHgSb2 at its relaxed geometry. Source: Alexandria via LeMat-Bulk, functional PBE.

extended XYZ file:
```
4
Lattice="-2.118 2.118 5.092 2.118 -2.118 5.092 2.118 2.118 -5.092" Properties=species:S:1:pos:R:3 pbc="T T T"
Ta 0.000 0.000 0.000
Hg 2.118 0.000 2.546
Sb 0.000 0.000 5.092
Sb 0.000 2.118 2.546
```

Total DFT energy (no corrections): -18.30 eV/cell
SG: I-4m2 (119)
Raw formation energy: 524.7 meV/atom



Crystalline Ta2HgSb at its relaxed geometry. Source: Alexandria via LeMat-Bulk, functional PBE.

extended XYZ file:
```
4
Lattice="3.089 0.000 0.000 0.000 4.699 0.000 -1.505 0.000 5.620" Properties=species:S:1:pos:R:3 pbc="T T T"
Ta 0.000 0.000 0.000
Ta 0.731 2.349 1.476
Hg 2.039 0.000 2.660
Sb 0.258 2.349 4.432
```

Total DFT energy (no corrections): -26.61 eV/cell
SG: Pm (6)
Raw formation energy: 380.6 meV/atom



Crystalline TaHg3Sb at its relaxed geometry. Source: Alexandria via LeMat-Bulk, functional PBE.

extended XYZ file:
```
5
Lattice="5.366 0.000 0.000 0.000 5.366 0.000 0.000 0.000 5.366" Properties=species:S:1:pos:R:3 pbc="T T T"
Ta 0.000 0.000 0.000
Hg 0.000 0.000 2.683
Hg 0.000 2.683 0.000
Hg 2.683 0.000 0.000
Sb 2.683 2.683 2.683
```

Total DFT energy (no corrections): -12.16 eV/cell
SG: Pm-3m (221)
Raw formation energy: 944.0 meV/atom



Crystalline TaHg4Sb at its relaxed geometry. Source: Alexandria via LeMat-Bulk, functional PBE.

extended XYZ file:
```
6
Lattice="0.000 4.123 4.123 4.123 0.000 4.123 4.123 4.123 0.000" Properties=species:S:1:pos:R:3 pbc="T T T"
Ta 0.000 0.000 0.000
Hg 5.157 3.088 3.088
Hg 3.088 5.157 3.088
Hg 3.088 3.088 5.157
Hg 5.157 5.157 5.157
Sb 2.061 2.061 2.061
```

Total DFT energy (no corrections): -12.74 eV/cell
SG: F-43m (216)
Raw formation energy: 740.6 meV/atom



Crystalline Ta2HgSb at its relaxed geometry. Source: Alexandria via LeMat-Bulk, functional PBE.

extended XYZ file:
```
4
Lattice="1.842 -2.386 0.000 1.842 2.386 0.000 0.000 0.000 10.108" Properties=species:S:1:pos:R:3 pbc="T T T"
Ta 0.000 0.000 0.000
Ta 1.842 0.000 2.124
Hg 1.842 0.000 7.823
Sb 0.000 0.000 4.353
```

Total DFT energy (no corrections): -27.34 eV/cell
SG: Cmm2 (35)
Raw formation energy: 197.6 meV/atom



Crystalline TaHgSb2 at its relaxed geometry. Source: Alexandria via LeMat-Bulk, functional PBE.

extended XYZ file:
```
4
Lattice="3.532 0.000 0.000 0.000 3.532 0.000 0.000 0.000 7.735" Properties=species:S:1:pos:R:3 pbc="T T T"
Ta 0.000 0.000 0.000
Hg 1.766 1.766 1.830
Sb 0.000 0.000 4.424
Sb 1.766 1.766 6.425
```

Total DFT energy (no corrections): -18.87 eV/cell
SG: P4mm (99)
Raw formation energy: 381.1 meV/atom



Number 2 is which compound? TaHgSb2